# 1
Here is a geometry-optimized Pr2Si4Ni3Ir structure from the Alexandria database. Energies are from PBE-GGA.

abc: 4.0556 4.0556 9.8573
angles: 90.00 90.00 90.00
Space group P-4m2 (No. 115)
One atom of each set of equivalent atoms:
Pr 0.0000 0.5000 0.2408 (multiplicity 2)
Si 0.0000 0.0000 0.0000 (multiplicity 1)
Si 0.0000 0.5000 0.6347 (multiplicity 2)
Si 0.5000 0.5000 0.0000 (multiplicity 1)
Ni 0.0000 0.5000 0.8796 (multiplicity 2)
Ni 0.5000 0.5000 0.5000 (multiplicity 1)
Ir 0.0000 0.0000 0.5000 (multiplicity 1)

The calculation puts the formation energy from raw total energies at -8.48 eV/f.u.

---

# 2
Here is a geometry-optimized NaYCd4 structure from the Alexandria database. Energies are from PBE-GGA.

abc: 8.3840 8.3840 8.3840
angles: 90.00 90.00 90.00
Space group F-43m (No. 216)
One atom of each set of equivalent atoms:
Na 0.0000 0.0000 0.0000 (multiplicity 4)
Y 0.2500 0.2500 0.2500 (multiplicity 4)
Cd 0.1249 0.1249 0.6249 (multiplicity 16)

For the formation energy, the calculation gives -0.145 eV/atom.

---

# 3
Here is a geometry-optimized TlSi2Tc structure from the Alexandria database. Energies are from PBE-GGA.

abc: 8.0785 3.3268 5.7437
angles: 90.00 92.84 90.00
Space group Cm (No. 8)
One atom of each set of equivalent atoms:
Tl 0.0000 0.0000 0.0000 (multiplicity 2)
Si 0.2180 0.5000 0.6146 (multiplicity 2)
Si 0.3036 0.0000 0.3209 (multiplicity 2)
Tc 0.0067 0.0000 0.5107 (multiplicity 2)

The calculation puts the formation energy from raw total energies at 0.65 eV/f.u.

---

# 4
Here is a geometry-optimized As2SeCl structure from the Alexandria database. Energies are from PBE-GGA.

abc: 3.5534 3.5534 6.9086
angles: 90.00 90.00 90.00
Space group P4/mmm (No. 123)
One atom of each set of equivalent atoms:
As 0.0000 0.0000 0.1895 (multiplicity 2)
Se 0.5000 0.5000 0.0000 (multiplicity 1)
Cl 0.5000 0.5000 0.5000 (multiplicity 1)

The calculation puts the formation energy from raw total energies at 0.89 eV/f.u.

---

# 5
Here is a geometry-optimized Li4Sm3Pd4 structure from the Alexandria database. Energies are from PBE-GGA.

abc: 4.0558 7.5245 14.3082
angles: 90.00 90.00 90.00
Space group Immm (No. 71)
One atom of each set of equivalent atoms:
Li 0.0000 0.1905 0.1756 (multiplicity 8)
Sm 0.0000 0.0000 0.3762 (multiplicity 4)
Sm 0.0000 0.5000 0.5000 (multiplicity 2)
Pd 0.0000 0.3066 0.0000 (multiplicity 4)
Pd 0.0000 0.5000 0.2788 (multiplicity 4)

For the formation energy, the calculation gives -0.535 eV/atom.